DFT (GGA-PBE) results for crystalline Na3B4C2 at its relaxed geometry.

Cell: 5.0061 5.0060 8.5261 Å, 90.00 90.00 120.00°
Last column: nearest neighbours and their distance in Å.
Sites, in units of the cell vectors:
Na: 0.9983 0.9991 0.0000  8 B 2.66-2.73, 4 C 2.70-2.71, 6 Na 2.88-2.91
Na: 0.9983 0.9991 0.5000  8 B 2.66-2.73, 4 C 2.70-2.71, 6 Na 2.88-2.91
Na: 0.3333 0.6667 0.0000  8 B 2.66-2.73, 4 C 2.71, 6 Na 2.88-2.89
Na: 0.3333 0.6667 0.5000  8 B 2.66-2.73, 4 C 2.71, 6 Na 2.88-2.89
Na: 0.6684 0.3342 0.0000  8 B 2.66-2.73, 4 C 2.70-2.71, 6 Na 2.88-2.91
Na: 0.6684 0.3342 0.5000  8 B 2.66-2.73, 4 C 2.70-2.71, 6 Na 2.88-2.91
C: 0.6665 0.6665 0.7500  3 B 1.63
C: 0.6665 0.0000 0.2500  3 B 1.63
C: 0.0001 0.3333 0.7500  3 B 1.63
C: 0.0001 0.6668 0.2500  3 B 1.63
B: 0.3333 0.0000 0.7500  3 B 1.74
B: 0.3333 0.3333 0.2500  3 B 1.74
B: 0.3333 0.9854 0.2500  2 C 1.63, 1 B 1.74
B: 0.3333 0.3480 0.7500  2 C 1.63, 1 B 1.74
B: 0.6812 0.6811 0.2500  2 C 1.63, 1 B 1.74
B: 0.6812 0.0001 0.7500  2 C 1.63, 1 B 1.74
B: 0.9855 0.3333 0.2500  2 C 1.63, 1 B 1.74
B: 0.9855 0.6522 0.7500  2 C 1.63, 1 B 1.74

The formation energy is 0.14 eV/atom. For the density, the calculation gives 2.4 g/cm3. The symmetry is Cmcm. The energy above the most stable polymorph in this dataset is 40 meV per atom.